Ac2GaSiRh6 | Alexandria | PBE | optimized geometry; space group = No. 225; Fermi-level density of states = 8.97 states/eV/f.u.; formation energy without anion corrections = -0.54 eV per atom; final energy = -66.22 eV for the cell shown
1.0
0.0000 4.6248 4.6248
4.6248 0.0000 4.6248
4.6248 4.6248 0.0000
Ac Ga Si Rh
2 1 1 6
Cartesian
2.3124 2.3124 2.3124
6.9372 6.9372 6.9372
0.0000 0.0000 0.0000
4.6248 4.6248 4.6248
4.6248 4.6248 2.3739
4.6248 2.3739 4.6248
6.8757 4.6248 4.6248
2.3739 4.6248 4.6248
4.6248 6.8757 4.6248
4.6248 4.6248 6.8757


Ac2GaSi4Rh3 | Alexandria | PBE | optimized geometry; space group = No. 115; Fermi-level density of states = 5.25 states/eV/f.u.; formation energy without anion corrections = -0.82 eV per atom; final energy = -63.15 eV for the cell shown
1.0
4.3278 0.0000 0.0000
0.0000 4.3278 0.0000
0.0000 0.0000 10.1416
Ac Ga Si Rh
2 1 4 3
Cartesian
0.0000 2.1639 2.4891
2.1639 0.0000 7.6525
0.0000 0.0000 5.0708
0.0000 0.0000 0.0000
0.0000 2.1639 6.4699
2.1639 0.0000 3.6718
2.1639 2.1639 0.0000
0.0000 2.1639 8.9420
2.1639 0.0000 1.1996
2.1639 2.1639 5.0708


AcSmGaRh | Alexandria | PBE | optimized geometry; space group = No. 216; Fermi-level density of states = 3.05 states/eV/f.u.; excess energy over the best structure of this formula in the dataset = 136 meV per atom; energy of formation from the pure elements = -0.4713 eV/atom; final energy = -21.09 eV for the cell shown
1.0
0.0000 3.7076 3.7076
3.7076 0.0000 3.7076
3.7076 3.7076 0.0000
Ac Sm Ga Rh
1 1 1 1
Cartesian
0.0000 0.0000 0.0000
3.7076 3.7076 3.7076
1.8538 1.8538 1.8538
5.5613 5.5613 5.5613


Q: Which value of final energy does entry 1 give?
A: -66.22 eV for the cell shown